No. 1
# GGA-PBEsol Ga5Pt, optimized geometry
data_Ga5Pt
_cell_length_a 6.356
_cell_length_b 8.854
_cell_length_c 15.671
_cell_angle_alpha 90.00
_cell_angle_beta 90.00
_cell_angle_gamma 110.45
_space_group_name_H-M_alt 'P 1'
_space_group_IT_number 1
_space_group_name_Hall 'P 1'
loop_
_atom_site_label
_atom_site_type_symbol
_atom_site_fract_x
_atom_site_fract_y
_atom_site_fract_z
Ga1 Ga 0.921 0.736 0.668
Ga2 Ga 0.322 0.221 0.750
Ga3 Ga 0.705 0.426 0.836
Ga4 Ga 0.074 0.775 0.332
Ga5 Ga 0.079 0.264 0.332
Ga6 Ga 0.690 0.921 0.665
Ga7 Ga 0.445 0.863 0.061
Ga8 Ga 0.002 0.358 0.999
Ga9 Ga 0.310 0.079 0.165
Ga10 Ga 0.550 0.639 0.942
Ga11 Ga 0.295 0.574 0.164
Ga12 Ga 0.074 0.775 0.168
Ga13 Ga 0.097 0.025 0.930
Ga14 Ga 0.445 0.863 0.439
Ga15 Ga 0.450 0.361 0.058
Ga16 Ga 0.921 0.736 0.832
Ga17 Ga 0.678 0.779 0.250
Ga18 Ga 0.791 0.448 0.330
Ga19 Ga 0.998 0.642 0.001
Ga20 Ga 0.903 0.975 0.070
Ga21 Ga 0.926 0.225 0.668
Ga22 Ga 0.310 0.079 0.335
Ga23 Ga 0.791 0.448 0.170
Ga24 Ga 0.685 0.062 0.250
Ga25 Ga 0.079 0.264 0.168
Ga26 Ga 0.705 0.426 0.664
Ga27 Ga 0.295 0.574 0.336
Ga28 Ga 0.903 0.975 0.430
Ga29 Ga 0.002 0.358 0.501
Ga30 Ga 0.097 0.025 0.570
Ga31 Ga 0.555 0.137 0.939
Ga32 Ga 0.690 0.921 0.835
Ga33 Ga 0.315 0.938 0.750
Ga34 Ga 0.550 0.639 0.558
Ga35 Ga 0.998 0.642 0.499
Ga36 Ga 0.209 0.552 0.670
Ga37 Ga 0.555 0.137 0.561
Ga38 Ga 0.209 0.552 0.830
Ga39 Ga 0.450 0.361 0.442
Ga40 Ga 0.926 0.225 0.832
Pt1 Pt 0.692 0.171 0.095
Pt2 Pt 0.684 0.672 0.095
Pt3 Pt 0.692 0.171 0.405
Pt4 Pt 0.316 0.328 0.595
Pt5 Pt 0.308 0.829 0.595
Pt6 Pt 0.308 0.829 0.905
Pt7 Pt 0.316 0.328 0.905
Pt8 Pt 0.684 0.672 0.405
# ΔE_f ... -0.338 eV/atom
# Magnetization ... 0.0 μB/cell
# Crystal system ... monoclinic

***

No. 2
# GGA-PBEsol Li4Mn5O10, optimized geometry
data_Li4Mn5O10
_cell_length_a 5.071
_cell_length_b 4.836
_cell_length_c 7.388
_cell_angle_alpha 70.90
_cell_angle_beta 71.94
_cell_angle_gamma 80.68
_space_group_name_H-M_alt 'P 1'
_space_group_IT_number 1
_space_group_name_Hall 'P 1'
loop_
_atom_site_label
_atom_site_type_symbol
_atom_site_fract_x
_atom_site_fract_y
_atom_site_fract_z
O1 O 0.786 0.546 0.633
O2 O 0.794 0.751 0.236
O3 O 0.234 0.642 0.943
O4 O 0.231 0.446 0.348
O5 O 0.240 0.246 0.744
O6 O 0.232 0.056 0.147
O7 O 0.241 0.847 0.546
O8 O 0.787 0.147 0.434
O9 O 0.796 0.947 0.831
O10 O 0.795 0.337 0.032
Mn1 Mn 0.016 0.990 0.991
Mn2 Mn 0.017 0.799 0.389
Mn3 Mn 0.011 0.594 0.790
Mn4 Mn 0.014 0.197 0.589
Mn5 Mn 0.011 0.403 0.188
Li1 Li 0.513 0.887 0.704
Li2 Li 0.513 0.288 0.901
Li3 Li 0.514 0.105 0.278
Li4 Li 0.515 0.506 0.475
# Formation energy from raw total energies ... -1.820 eV per atom
# Magnetization ... 11.0 μB/cell
# Crystal system ... triclinic

***

No. 3
# GGA-PBEsol Ba4NaGe3S10Cl, optimized geometry
data_Ba4NaGe3S10Cl
_cell_length_a 9.779
_cell_length_b 9.779
_cell_length_c 12.120
_cell_angle_alpha 90.00
_cell_angle_beta 90.00
_cell_angle_gamma 120.00
_space_group_name_H-M_alt 'P 1'
_space_group_IT_number 1
_space_group_name_Hall 'P 1'
loop_
_atom_site_label
_atom_site_type_symbol
_atom_site_fract_x
_atom_site_fract_y
_atom_site_fract_z
Ba1 Ba 0.087 0.736 0.865
Ba2 Ba 0.333 0.667 0.554
Ba3 Ba 0.650 0.913 0.865
Ba4 Ba 0.667 0.333 0.054
Ba5 Ba 0.736 0.650 0.365
Ba6 Ba 0.350 0.087 0.365
Ba7 Ba 0.913 0.264 0.365
Ba8 Ba 0.264 0.350 0.865
S1 S 0.453 0.342 0.638
S2 S 0.342 0.888 0.138
S3 S 0.911 0.329 0.881
S4 S 0.671 0.582 0.881
S5 S 0.753 0.062 0.109
S6 S 0.247 0.938 0.609
S7 S 0.329 0.418 0.381
S8 S 0.938 0.691 0.109
S9 S 0.582 0.911 0.381
S10 S 0.112 0.453 0.138
S11 S 0.667 0.333 0.298
S12 S 0.658 0.112 0.638
S13 S 0.062 0.309 0.609
S14 S 0.691 0.753 0.609
S15 S 0.089 0.671 0.381
S16 S 0.418 0.089 0.881
S17 S 0.333 0.667 0.798
S18 S 0.547 0.658 0.138
S19 S 0.888 0.547 0.638
S20 S 0.309 0.247 0.109
Na1 Na 0.000 0.000 0.114
Na2 Na 0.000 0.000 0.614
Ge1 Ge 0.881 0.326 0.704
Ge2 Ge 0.444 0.119 0.704
Ge3 Ge 0.326 0.444 0.204
Ge4 Ge 0.674 0.556 0.704
Ge5 Ge 0.556 0.881 0.204
Ge6 Ge 0.119 0.674 0.204
Cl1 Cl 0.000 0.000 0.851
Cl2 Cl 0.000 0.000 0.351
# Formation energy from raw total energies ... -1.324 eV per atom
# Magnetization ... 0.0 μB/cell
# Crystal system ... hexagonal

***

No. 4
# GGA-PBEsol Tl2SiW, optimized geometry
data_Tl2SiW
_cell_length_a 2.836
_cell_length_b 4.932
_cell_length_c 6.886
_cell_angle_alpha 110.99
_cell_angle_beta 101.89
_cell_angle_gamma 90.00
_space_group_name_H-M_alt 'P 1'
_space_group_IT_number 1
_space_group_name_Hall 'P 1'
loop_
_atom_site_label
_atom_site_type_symbol
_atom_site_fract_x
_atom_site_fract_y
_atom_site_fract_z
W1 W 0.518 0.518 0.035
Tl1 Tl 0.997 0.997 0.994
Tl2 Tl 0.800 0.300 0.600
Si1 Si 0.185 0.685 0.371
# Formation energy from raw total energies ... 0.642 eV per atom
# Magnetization ... 0.0 μB/cell
# Crystal system ... orthorhombic

***

No. 5
# GGA-PBEsol YCrCl2, optimized geometry
data_YCrCl2
_cell_length_a 3.597
_cell_length_b 5.325
_cell_length_c 6.458
_cell_angle_alpha 114.35
_cell_angle_beta 106.17
_cell_angle_gamma 90.00
_space_group_name_H-M_alt 'P 1'
_space_group_IT_number 1
_space_group_name_Hall 'P 1'
loop_
_atom_site_label
_atom_site_type_symbol
_atom_site_fract_x
_atom_site_fract_y
_atom_site_fract_z
Cl1 Cl 0.671 0.671 0.342
Cl2 Cl 0.329 0.329 0.658
Y1 Y 0.000 0.500 0.000
Cr1 Cr 0.500 0.000 0.000
# Formation energy from raw total energies ... -0.607 eV per atom
# Magnetization ... 4.9 μB/cell
# Crystal system ... orthorhombic

***

No. 6
# GGA-PBEsol GaP2PtO, optimized geometry
data_GaP2PtO
_cell_length_a 3.449
_cell_length_b 4.744
_cell_length_c 4.744
_cell_angle_alpha 90.00
_cell_angle_beta 90.00
_cell_angle_gamma 90.00
_space_group_name_H-M_alt 'P 1'
_space_group_IT_number 1
_space_group_name_Hall 'P 1'
loop_
_atom_site_label
_atom_site_type_symbol
_atom_site_fract_x
_atom_site_fract_y
_atom_site_fract_z
P1 P 0.000 0.500 0.000
P2 P 0.000 0.000 0.500
Pt1 Pt 0.500 0.500 0.500
Ga1 Ga 0.000 0.000 0.000
O1 O 0.500 0.000 0.000
# Formation energy from raw total energies ... 0.453 eV per atom
# Magnetization ... 0.0 μB/cell
# Crystal system ... tetragonal

***

No. 7
# GGA-PBEsol InFePb2, optimized geometry
data_InFePb2
_cell_length_a 3.088
_cell_length_b 4.466
_cell_length_c 7.402
_cell_angle_alpha 107.56
_cell_angle_beta 102.04
_cell_angle_gamma 90.00
_space_group_name_H-M_alt 'P 1'
_space_group_IT_number 1
_space_group_name_Hall 'P 1'
loop_
_atom_site_label
_atom_site_type_symbol
_atom_site_fract_x
_atom_site_fract_y
_atom_site_fract_z
Pb1 Pb 0.673 0.673 0.347
Pb2 Pb 0.327 0.327 0.653
In1 In 0.500 0.000 0.000
Fe1 Fe 0.000 0.500 0.000
# ΔE_f ... 0.279 eV/atom
# Magnetization ... 2.0 μB/cell
# Crystal system ... orthorhombic

***

No. 8
# GGA-PBEsol YH2PdS, optimized geometry
data_YH2PdS
_cell_length_a 3.777
_cell_length_b 3.777
_cell_length_c 5.536
_cell_angle_alpha 90.00
_cell_angle_beta 90.00
_cell_angle_gamma 90.00
_space_group_name_H-M_alt 'P 1'
_space_group_IT_number 1
_space_group_name_Hall 'P 1'
loop_
_atom_site_label
_atom_site_type_symbol
_atom_site_fract_x
_atom_site_fract_y
_atom_site_fract_z
H1 H 0.000 0.500 0.000
H2 H 0.500 0.000 0.000
S1 S 0.500 0.500 0.500
Y1 Y 0.000 0.000 0.000
Pd1 Pd 0.000 0.000 0.500
# E_tot ... -4.810 eV/atom
# Magnetization ... 0.0 μB/cell
# Crystal system ... tetragonal